A plane-wave DFT calculation with PBE was carried out for a relaxed structure of KNa3Hg4Br12.

## Properties
Crystal system   trigonal
VASP energy   -2.19 eV per atom

a = 9.7240 Å, b = 9.7240 Å, c = 9.7240 Å
α = 105.80°, β = 105.80°, γ = 105.80°
With the nearest neighbours (Å) after each atom.
Sites, in units of the cell vectors:
K (0.0000, 0.0000, 0.0000)  6 Br 3.52
Na (0.0000, 0.5527, 0.4473)  6 Br 2.98-3.03
Na (0.4473, 0.0000, 0.5527)  6 Br 2.98-3.03
Na (0.5527, 0.4473, 0.0000)  6 Br 2.98-3.03
Hg (0.0602, 0.5000, 0.9398)  3 Br 2.58-2.60
Hg (0.5000, 0.5000, 0.5000)  3 Br 2.58
Hg (0.5000, 0.9398, 0.0602)  3 Br 2.58-2.60
Hg (0.9398, 0.0602, 0.5000)  3 Br 2.58-2.60
Br (0.0435, 0.6727, 0.7809)  1 Hg 2.58
Br (0.1076, 0.8924, 0.5000)  1 Hg 2.60
Br (0.2191, 0.3273, 0.9565)  1 Hg 2.58
Br (0.3273, 0.9565, 0.2191)  1 Hg 2.58
Br (0.3340, 0.6660, 0.5000)  1 Hg 2.58
Br (0.5000, 0.1076, 0.8924)  1 Hg 2.60
Br (0.5000, 0.3340, 0.6660)  1 Hg 2.58
Br (0.6660, 0.5000, 0.3340)  1 Hg 2.58
Br (0.6727, 0.7809, 0.0435)  1 Hg 2.58
Br (0.7809, 0.0435, 0.6727)  1 Hg 2.58
Br (0.8924, 0.5000, 0.1076)  1 Hg 2.60
Br (0.9565, 0.2191, 0.3273)  1 Hg 2.58


A plane-wave DFT calculation with PBE was carried out for a relaxed structure of Sr3PuPb12.

## Properties
Crystal system   tetragonal
VASP energy   -4.29 eV per atom

a = 4.9872 Å, b = 4.9872 Å, c = 19.9486 Å
α = 90.00°, β = 90.00°, γ = 90.00°
With the nearest neighbours (Å) after each atom.
Sites, in units of the cell vectors:
Sr (0.0000, 0.0000, 0.0000)  12 Pb 3.53-3.55
Sr (0.0000, 0.0000, 0.2550)  12 Pb 3.53-3.58
Sr (0.0000, 0.0000, 0.7450)  12 Pb 3.53-3.58
Pu (0.0000, 0.0000, 0.5000)  12 Pb 3.45-3.53
Pb (0.0000, 0.5000, 0.1266)  8 Pb 3.53-3.55, 4 Sr 3.55-3.58
Pb (0.0000, 0.5000, 0.3807)  2 Pu 3.45, 8 Pb 3.45-3.57, 2 Sr 3.54
Pb (0.0000, 0.5000, 0.6193)  8 Pb 3.45-3.57, 2 Pu 3.45, 2 Sr 3.54
Pb (0.0000, 0.5000, 0.8734)  8 Pb 3.53-3.55, 4 Sr 3.55-3.58
Pb (0.5000, 0.0000, 0.1266)  8 Pb 3.53-3.55, 4 Sr 3.55-3.58
Pb (0.5000, 0.0000, 0.3807)  2 Pu 3.45, 8 Pb 3.45-3.57, 2 Sr 3.54
Pb (0.5000, 0.0000, 0.6193)  8 Pb 3.45-3.57, 2 Pu 3.45, 2 Sr 3.54
Pb (0.5000, 0.0000, 0.8734)  8 Pb 3.53-3.55, 4 Sr 3.55-3.58
Pb (0.5000, 0.5000, 0.0000)  4 Sr 3.53, 8 Pb 3.55
Pb (0.5000, 0.5000, 0.2526)  4 Sr 3.53, 8 Pb 3.54-3.57
Pb (0.5000, 0.5000, 0.5000)  8 Pb 3.45, 4 Pu 3.53
Pb (0.5000, 0.5000, 0.7474)  4 Sr 3.53, 8 Pb 3.54-3.57


A plane-wave DFT calculation with PBE was carried out for a relaxed structure of LiNiTe2.

## Properties
Crystal system   trigonal
VASP energy   -3.86 eV per atom

a = 3.9317 Å, b = 3.9317 Å, c = 19.5877 Å
α = 90.00°, β = 90.00°, γ = 120.00°
With the nearest neighbours (Å) after each atom.
Sites, in units of the cell vectors:
Li (0.0000, 0.0000, 0.0000)  6 Te 2.88-3.06, 1 Ni 3.09
Li (0.3333, 0.6667, 0.6667)  6 Te 2.88-3.06, 1 Ni 3.09
Li (0.6667, 0.3333, 0.3333)  6 Te 2.88-3.06, 1 Ni 3.09
Ni (0.0000, 0.0000, 0.8422)  6 Te 2.63-2.66
Ni (0.3333, 0.6667, 0.5088)  6 Te 2.63-2.66
Ni (0.6667, 0.3333, 0.1755)  6 Te 2.63-2.66
Te (0.0000, 0.0000, 0.2428)  3 Ni 2.63, 3 Li 2.88
Te (0.0000, 0.0000, 0.4381)  3 Ni 2.66
Te (0.3333, 0.6667, 0.1047)  3 Ni 2.66
Te (0.3333, 0.6667, 0.9095)  3 Ni 2.63, 3 Li 2.88
Te (0.6667, 0.3333, 0.5761)  3 Ni 2.63, 3 Li 2.88
Te (0.6667, 0.3333, 0.7714)  3 Ni 2.66


A plane-wave DFT calculation with PBE was carried out for a relaxed structure of TiCoSnRh.

## Properties
E above lowest polymorph   0 meV/atom
Crystal system   tetragonal

a = 4.0949 Å, b = 4.0949 Å, c = 7.1431 Å
α = 90.00°, β = 90.00°, γ = 90.00°
With the nearest neighbours (Å) after each atom.
Sites, in units of the cell vectors:
Ti (0.0000, 0.0000, 0.0000)  4 Co 2.72, 4 Rh 2.72, 4 Sn 2.90
Ti (0.5000, 0.5000, 0.5000)  4 Co 2.72, 4 Rh 2.72, 4 Sn 2.90
Co (0.0000, 0.5000, 0.7500)  4 Sn 2.72, 4 Ti 2.72, 4 Rh 2.90
Co (0.5000, 0.0000, 0.2500)  4 Ti 2.72, 4 Sn 2.72, 4 Rh 2.90
Sn (0.0000, 0.0000, 0.5000)  4 Co 2.72, 4 Rh 2.72, 4 Ti 2.90
Sn (0.5000, 0.5000, 0.0000)  4 Co 2.72, 4 Rh 2.72, 4 Ti 2.90
Rh (0.0000, 0.5000, 0.2500)  4 Ti 2.72, 4 Sn 2.72, 4 Co 2.90
Rh (0.5000, 0.0000, 0.7500)  4 Sn 2.72, 4 Ti 2.72, 4 Co 2.90


A plane-wave DFT calculation with PBE was carried out for a relaxed structure of Cd2SiMo.

## Properties
Crystal system   monoclinic
VASP energy   -4.14 eV per atom

a = 5.5023 Å, b = 10.6037 Å, c = 2.8517 Å
α = 90.00°, β = 120.02°, γ = 90.00°
With the nearest neighbours (Å) after each atom.
Sites, in units of the cell vectors:
Cd (0.2500, 0.2500, 0.0000)  6 Cd 2.75-2.85, 2 Mo 2.99, 2 Si 2.99
Cd (0.2500, 0.7500, 0.0000)  6 Cd 2.75-2.85, 2 Mo 2.99, 2 Si 2.99
Cd (0.7500, 0.2500, 0.0000)  6 Cd 2.75-2.85, 2 Mo 2.99, 2 Si 2.99
Cd (0.7500, 0.7500, 0.0000)  6 Cd 2.75-2.85, 2 Mo 2.99, 2 Si 2.99
Si (0.0000, 0.0000, 0.0000)  4 Mo 2.75-2.80, 2 Si 2.85, 4 Cd 2.99
Si (0.5000, 0.5000, 0.0000)  4 Mo 2.75-2.80, 2 Si 2.85, 4 Cd 2.99
Mo (0.0000, 0.5000, 0.0000)  4 Si 2.75-2.80, 2 Mo 2.85, 4 Cd 2.99
Mo (0.5000, 0.0000, 0.0000)  4 Si 2.75-2.80, 2 Mo 2.85, 4 Cd 2.99


A plane-wave DFT calculation with PBE was carried out for a relaxed structure of TcAsCBr2.

## Properties
E above lowest polymorph   97 meV/atom
Crystal system   tetragonal

a = 4.4676 Å, b = 4.4676 Å, c = 4.2756 Å
α = 90.00°, β = 90.00°, γ = 90.00°
With the nearest neighbours (Å) after each atom.
Sites, in units of the cell vectors:
Tc (0.0000, 0.0000, 0.0000)  8 Br 3.09, 4 As 3.16
As (0.5000, 0.5000, 0.0000)  2 C 2.14
C (0.5000, 0.5000, 0.5000)  2 As 2.14, 4 Br 2.23
Br (0.0000, 0.5000, 0.5000)  2 C 2.23
Br (0.5000, 0.0000, 0.5000)  2 C 2.23